# HfTe2IrI

A crystal of HfTe2IrI relaxed with PBEsol (SCAN, Alexandria via LeMat-Bulk).

Output
**Space group**: P4/mmm, No. 123
**Uncorrected formation energy**: 0.962 eV per atom
**Total DFT energy (no corrections)**: -48.041 eV/atom
**DOS at the Fermi energy**: 3.71 states/eV/f.u.

a b c (Å): 5.430 5.430 5.392
angles (deg): 90.00 90.00 90.00
Each line ends with the local moment (μB).
Atoms (fractional coordinates):
I (0.000, 0.000, 0.500)  0.04
Hf (0.000, 0.000, 0.000)  0.06
Ir (0.500, 0.500, 0.500)  2.58
Te (0.000, 0.500, 0.000)  0.12
Te (0.500, 0.000, 0.000)  0.12